Pu2MgRu3: relaxed, GGA-PBE.

Calculated values
Magnetization ... 15.1 μB/cell
Energy relative to the elements ... -0.1534 eV per atom
Space group ... Pmmn
Raw total energy ... -118.01 eV per cell
Relative energy among the computed polymorphs ... 0.00 eV per formula unit

The structure in CIF format:
```
data_Pu2MgRu3
_chemical_formula_sum 'Pu4 Mg2 Ru6'
_symmetry_space_group_name_H-M 'P 1'
_symmetry_Int_Tables_number 1
_cell_length_a 3.4424
_cell_length_b 4.5829
_cell_length_c 13.5966
_cell_angle_alpha 90.00
_cell_angle_beta 90.00
_cell_angle_gamma 90.00
loop_
_symmetry_equiv_pos_as_xyz
'x,y,z'
loop_
_atom_site_label
_atom_site_type_symbol
_atom_site_fract_x
_atom_site_fract_y
_atom_site_fract_z
Mg1 Mg 0.0020 0.0000 0.0000
Mg2 Mg 0.9980 0.5000 0.5000
Pu1 Pu 0.9991 0.0000 0.3406
Pu2 Pu 0.0009 0.5000 0.1594
Pu3 Pu 0.0009 0.5000 0.8406
Pu4 Pu 0.9991 0.0000 0.6594
Ru1 Ru 0.5011 0.0000 0.1680
Ru2 Ru 0.4989 0.5000 0.3320
Ru3 Ru 0.5011 0.0000 0.8320
Ru4 Ru 0.5017 0.5000 0.0000
Ru5 Ru 0.4983 0.0000 0.5000
Ru6 Ru 0.4989 0.5000 0.6680
```

---

Pu5MgRu6: relaxed, GGA-PBE.

Calculated values
Magnetization ... 21.0 μB/cell
Energy relative to the elements ... -0.1516 eV per atom
Space group ... C2/m
Raw total energy ... -130.73 eV per cell

The structure in CIF format:
```
data_Pu5MgRu6
_chemical_formula_sum 'Pu5 Mg1 Ru6'
_symmetry_space_group_name_H-M 'P 1'
_symmetry_Int_Tables_number 1
_cell_length_a 4.6834
_cell_length_b 8.2296
_cell_length_c 8.2293
_cell_angle_alpha 120.62
_cell_angle_beta 106.47
_cell_angle_gamma 106.47
loop_
_symmetry_equiv_pos_as_xyz
'x,y,z'
loop_
_atom_site_label
_atom_site_type_symbol
_atom_site_fract_x
_atom_site_fract_y
_atom_site_fract_z
Pu1 Pu 0.5000 0.8421 0.1579
Pu2 Pu 0.5000 0.1579 0.8421
Pu3 Pu 0.5000 0.5000 0.5000
Pu4 Pu 0.0000 0.6706 0.3294
Pu5 Pu 0.0000 0.3294 0.6706
Ru1 Ru 0.2490 0.4136 0.0854
Ru2 Ru 0.7560 0.2571 0.2571
Ru3 Ru 0.7510 0.5864 0.9146
Ru4 Ru 0.2440 0.7429 0.7429
Ru5 Ru 0.2490 0.0854 0.4136
Ru6 Ru 0.7510 0.9146 0.5864
Mg1 Mg 0.0000 0.0000 0.0000
```

---

Pu2MgRu3: relaxed, GGA-PBE.

Calculated values
Magnetization ... 8.0 μB/cell
Energy relative to the elements ... -0.1076 eV per atom
Space group ... P4/mmm
Raw total energy ... -58.73 eV per cell
Relative energy among the computed polymorphs ... 0.27 eV per formula unit

The structure in CIF format:
```
data_Pu2MgRu3
_chemical_formula_sum 'Pu2 Mg1 Ru3'
_symmetry_space_group_name_H-M 'P 1'
_symmetry_Int_Tables_number 1
_cell_length_a 3.3328
_cell_length_b 3.3328
_cell_length_c 9.7100
_cell_angle_alpha 90.00
_cell_angle_beta 90.00
_cell_angle_gamma 90.00
loop_
_symmetry_equiv_pos_as_xyz
'x,y,z'
loop_
_atom_site_label
_atom_site_type_symbol
_atom_site_fract_x
_atom_site_fract_y
_atom_site_fract_z
Ru1 Ru 0.0000 0.0000 0.3359
Ru2 Ru 0.0000 0.0000 0.6641
Ru3 Ru 0.0000 0.0000 0.0000
Mg1 Mg 0.5000 0.5000 0.5000
Pu1 Pu 0.5000 0.5000 0.1778
Pu2 Pu 0.5000 0.5000 0.8222
```

---

Pu4MgRu3: relaxed, GGA-PBE.

Calculated values
Magnetization ... 19.5 μB/cell
Energy relative to the elements ... 0.1557 eV per atom
Space group ... P4/mmm
Raw total energy ... -85.50 eV per cell

The structure in CIF format:
```
data_Pu4MgRu3
_chemical_formula_sum 'Pu4 Mg1 Ru3'
_symmetry_space_group_name_H-M 'P 1'
_symmetry_Int_Tables_number 1
_cell_length_a 4.7752
_cell_length_b 4.7752
_cell_length_c 8.1506
_cell_angle_alpha 90.00
_cell_angle_beta 90.00
_cell_angle_gamma 90.00
loop_
_symmetry_equiv_pos_as_xyz
'x,y,z'
loop_
_atom_site_label
_atom_site_type_symbol
_atom_site_fract_x
_atom_site_fract_y
_atom_site_fract_z
Pu1 Pu 0.5000 0.0000 0.7953
Pu2 Pu 0.5000 0.0000 0.2047
Pu3 Pu 0.0000 0.5000 0.7953
Pu4 Pu 0.0000 0.5000 0.2047
Ru1 Ru 0.5000 0.5000 0.3378
Ru2 Ru 0.5000 0.5000 0.6622
Ru3 Ru 0.0000 0.0000 0.0000
Mg1 Mg 0.0000 0.0000 0.5000
```

---

PuMgScRu: relaxed, GGA-PBE.

Calculated values
Magnetization ... 5.6 μB/cell
Energy relative to the elements ... -0.0568 eV per atom
Space group ... F-43m
Raw total energy ... -31.76 eV per cell

The structure in CIF format:
```
data_PuMgScRu
_chemical_formula_sum 'Pu1 Mg1 Sc1 Ru1'
_symmetry_space_group_name_H-M 'P 1'
_symmetry_Int_Tables_number 1
_cell_length_a 4.7813
_cell_length_b 4.7813
_cell_length_c 4.7813
_cell_angle_alpha 60.00
_cell_angle_beta 60.00
_cell_angle_gamma 60.00
loop_
_symmetry_equiv_pos_as_xyz
'x,y,z'
loop_
_atom_site_label
_atom_site_type_symbol
_atom_site_fract_x
_atom_site_fract_y
_atom_site_fract_z
Sc1 Sc 0.7500 0.7500 0.7500
Mg1 Mg 0.0000 0.0000 0.0000
Pu1 Pu 0.5000 0.5000 0.5000
Ru1 Ru 0.2500 0.2500 0.2500
```

---

SmPuMgRu: relaxed, GGA-PBE.

Calculated values
Magnetization ... 5.7 μB/cell
Energy relative to the elements ... 0.0310 eV per atom
Space group ... F-43m
Raw total energy ... -29.80 eV per cell

The structure in CIF format:
```
data_SmPuMgRu
_chemical_formula_sum 'Sm1 Pu1 Mg1 Ru1'
_symmetry_space_group_name_H-M 'P 1'
_symmetry_Int_Tables_number 1
_cell_length_a 5.0527
_cell_length_b 5.0527
_cell_length_c 5.0527
_cell_angle_alpha 60.00
_cell_angle_beta 60.00
_cell_angle_gamma 60.00
loop_
_symmetry_equiv_pos_as_xyz
'x,y,z'
loop_
_atom_site_label
_atom_site_type_symbol
_atom_site_fract_x
_atom_site_fract_y
_atom_site_fract_z
Ru1 Ru 0.2500 0.2500 0.2500
Mg1 Mg 0.7500 0.7500 0.7500
Pu1 Pu 0.5000 0.5000 0.5000
Sm1 Sm 0.0000 0.0000 0.0000
```

---

TbPuMgRu: relaxed, GGA-PBE.

Calculated values
Magnetization ... 5.6 μB/cell
Energy relative to the elements ... -0.0078 eV per atom
Space group ... F-43m
Raw total energy ... -29.86 eV per cell

The structure in CIF format:
```
data_TbPuMgRu
_chemical_formula_sum 'Tb1 Pu1 Mg1 Ru1'
_symmetry_space_group_name_H-M 'P 1'
_symmetry_Int_Tables_number 1
_cell_length_a 5.0132
_cell_length_b 5.0132
_cell_length_c 5.0132
_cell_angle_alpha 60.00
_cell_angle_beta 60.00
_cell_angle_gamma 60.00
loop_
_symmetry_equiv_pos_as_xyz
'x,y,z'
loop_
_atom_site_label
_atom_site_type_symbol
_atom_site_fract_x
_atom_site_fract_y
_atom_site_fract_z
Ru1 Ru 0.7500 0.7500 0.7500
Mg1 Mg 0.2500 0.2500 0.2500
Pu1 Pu 0.5000 0.5000 0.5000
Tb1 Tb 0.0000 0.0000 0.0000
```

---

PuMgTcRu: relaxed, GGA-PBE.

Calculated values
Magnetization ... 3.3 μB/cell
Energy relative to the elements ... -0.0495 eV per atom
Space group ... F-43m
Raw total energy ... -35.77 eV per cell

The structure in CIF format:
```
data_PuMgTcRu
_chemical_formula_sum 'Pu1 Mg1 Tc1 Ru1'
_symmetry_space_group_name_H-M 'P 1'
_symmetry_Int_Tables_number 1
_cell_length_a 4.5823
_cell_length_b 4.5823
_cell_length_c 4.5823
_cell_angle_alpha 60.00
_cell_angle_beta 60.00
_cell_angle_gamma 60.00
loop_
_symmetry_equiv_pos_as_xyz
'x,y,z'
loop_
_atom_site_label
_atom_site_type_symbol
_atom_site_fract_x
_atom_site_fract_y
_atom_site_fract_z
Mg1 Mg 0.7500 0.7500 0.7500
Pu1 Pu 0.2500 0.2500 0.2500
Ru1 Ru 0.0000 0.0000 0.0000
Tc1 Tc 0.5000 0.5000 0.5000
```

---

TmPuMgRu: relaxed, GGA-PBE.

Calculated values
Magnetization ... 5.6 μB/cell
Energy relative to the elements ... -0.0409 eV per atom
Space group ... F-43m
Raw total energy ... -29.84 eV per cell

The structure in CIF format:
```
data_TmPuMgRu
_chemical_formula_sum 'Tm1 Pu1 Mg1 Ru1'
_symmetry_space_group_name_H-M 'P 1'
_symmetry_Int_Tables_number 1
_cell_length_a 4.9703
_cell_length_b 4.9703
_cell_length_c 4.9703
_cell_angle_alpha 60.00
_cell_angle_beta 60.00
_cell_angle_gamma 60.00
loop_
_symmetry_equiv_pos_as_xyz
'x,y,z'
loop_
_atom_site_label
_atom_site_type_symbol
_atom_site_fract_x
_atom_site_fract_y
_atom_site_fract_z
Ru1 Ru 0.7500 0.7500 0.7500
Tm1 Tm 0.0000 0.0000 0.0000
Pu1 Pu 0.5000 0.5000 0.5000
Mg1 Mg 0.2500 0.2500 0.2500
```

---

YPuMgRu: relaxed, GGA-PBE.

Calculated values
Magnetization ... 5.6 μB/cell
Energy relative to the elements ... -0.0091 eV per atom
Space group ... F-43m
Raw total energy ... -31.70 eV per cell

The structure in CIF format:
```
data_YPuMgRu
_chemical_formula_sum 'Y1 Pu1 Mg1 Ru1'
_symmetry_space_group_name_H-M 'P 1'
_symmetry_Int_Tables_number 1
_cell_length_a 5.0130
_cell_length_b 5.0130
_cell_length_c 5.0130
_cell_angle_alpha 60.00
_cell_angle_beta 60.00
_cell_angle_gamma 60.00
loop_
_symmetry_equiv_pos_as_xyz
'x,y,z'
loop_
_atom_site_label
_atom_site_type_symbol
_atom_site_fract_x
_atom_site_fract_y
_atom_site_fract_z
Ru1 Ru 0.7500 0.7500 0.7500
Pu1 Pu 0.5000 0.5000 0.5000
Y1 Y 0.0000 0.0000 0.0000
Mg1 Mg 0.2500 0.2500 0.2500
```

---

PuMgZnRu: relaxed, GGA-PBE.

Calculated values
Magnetization ... 5.1 μB/cell
Energy relative to the elements ... 0.0229 eV per atom
Space group ... F-43m
Raw total energy ... -26.38 eV per cell

The structure in CIF format:
```
data_PuMgZnRu
_chemical_formula_sum 'Pu1 Mg1 Zn1 Ru1'
_symmetry_space_group_name_H-M 'P 1'
_symmetry_Int_Tables_number 1
_cell_length_a 4.7373
_cell_length_b 4.7373
_cell_length_c 4.7373
_cell_angle_alpha 60.00
_cell_angle_beta 60.00
_cell_angle_gamma 60.00
loop_
_symmetry_equiv_pos_as_xyz
'x,y,z'
loop_
_atom_site_label
_atom_site_type_symbol
_atom_site_fract_x
_atom_site_fract_y
_atom_site_fract_z
Pu1 Pu 0.0000 0.0000 0.0000
Zn1 Zn 0.7500 0.7500 0.7500
Mg1 Mg 0.5000 0.5000 0.5000
Ru1 Ru 0.2500 0.2500 0.2500
```

---

PuMgS3: relaxed, GGA-PBE.

Calculated values
Magnetization ... 8.0 μB/cell
Space group ... Cmcm
Raw total energy ... -69.72 eV per cell
Formation energy from raw total energies ... -1310 meV/atom

The structure in CIF format:
```
data_PuMgS3
_chemical_formula_sum 'Pu2 Mg2 S6'
_symmetry_space_group_name_H-M 'P 1'
_symmetry_Int_Tables_number 1
_cell_length_a 4.1599
_cell_length_b 6.8979
_cell_length_c 8.3266
_cell_angle_alpha 90.00
_cell_angle_beta 104.47
_cell_angle_gamma 90.00
loop_
_symmetry_equiv_pos_as_xyz
'x,y,z'
loop_
_atom_site_label
_atom_site_type_symbol
_atom_site_fract_x
_atom_site_fract_y
_atom_site_fract_z
S1 S 0.5231 0.2500 0.0461
S2 S 0.1691 0.5040 0.3381
S3 S 0.4769 0.7500 0.9539
S4 S 0.1691 0.9960 0.3381
S5 S 0.8309 0.0040 0.6619
S6 S 0.8309 0.4960 0.6619
Pu1 Pu 0.6892 0.2500 0.3784
Pu2 Pu 0.3108 0.7500 0.6216
Mg1 Mg 0.9441 0.2500 0.8882
Mg2 Mg 0.0559 0.7500 0.1118
```